No. 1
Computed, not measured: PmPr2Tm3As6 after structural relaxation at the PBE level of DFT. Values from VASP.

```
&SYSTEM
  ibrav = 0, nat = 12, ntyp = 4
/
ATOMIC_SPECIES
Pm 145.00 Pm.upf
Pr 140.91 Pr.upf
Tm 168.93 Tm.upf
As 74.92 As.upf
ATOMIC_POSITIONS crystal
Pm 0.500 0.000 0.000
Pr 0.834 0.667 0.667
Pr 0.166 0.333 0.333
Tm 0.500 0.500 0.000
Tm 0.833 0.166 0.666
Tm 0.167 0.834 0.334
As 0.331 0.926 0.662
As 0.663 0.592 0.327
As 0.669 0.074 0.338
As 0.996 0.255 0.993
As 0.004 0.745 0.007
As 0.337 0.408 0.673
CELL_PARAMETERS angstrom
-4.090 0.132 -0.848
0.180 -8.068 -2.120
0.192 -0.309 9.324
```

Space-group type: No. 12
E_tot in eV/atom: -6.13

***

No. 2
Computed, not measured: Tb2Nd3Dy6Tl after structural relaxation at the PBE level of DFT. Values from VASP.

```
&SYSTEM
  ibrav = 0, nat = 12, ntyp = 4
/
ATOMIC_SPECIES
Tb 158.93 Tb.upf
Nd 144.24 Nd.upf
Dy 162.50 Dy.upf
Tl 204.38 Tl.upf
ATOMIC_POSITIONS crystal
Tb 0.334 0.666 0.000
Tb 0.666 0.334 0.000
Nd 0.167 0.833 0.500
Nd 0.833 0.167 0.500
Nd 0.500 0.500 0.500
Dy 0.919 0.591 0.756
Dy 0.753 0.753 0.245
Dy 0.081 0.409 0.244
Dy 0.591 0.919 0.756
Dy 0.247 0.247 0.755
Dy 0.409 0.081 0.244
Tl 0.000 0.000 0.000
CELL_PARAMETERS angstrom
6.158 -0.002 -0.011
-3.080 5.333 -0.011
-1.012 -1.752 11.548
```

Space-group type: No. 12
E_tot in eV/atom: -4.48

***

No. 3
Computed, not measured: PrNd2Tl after structural relaxation at the PBE level of DFT. Values from VASP.

```
&SYSTEM
  ibrav = 0, nat = 4, ntyp = 3
/
ATOMIC_SPECIES
Pr 140.91 Pr.upf
Tl 204.38 Tl.upf
Nd 144.24 Nd.upf
ATOMIC_POSITIONS crystal
Pr 0.500 0.500 0.500
Tl 0.500 0.000 0.000
Nd 0.000 0.000 0.500
Nd 0.000 0.500 0.000
CELL_PARAMETERS angstrom
4.990 0.000 0.000
0.000 5.017 0.000
0.000 0.000 5.017
```

Distance to the lowest polymorph of the same formula in meV per atom: 0
Space-group type: No. 123
E_tot in eV/atom: -4.38

***

No. 4
Computed, not measured: TaAl2Co2 after structural relaxation at the PBE level of DFT. Values from VASP.

```
&SYSTEM
  ibrav = 0, nat = 10, ntyp = 3
/
ATOMIC_SPECIES
Co 58.93 Co.upf
Al 26.98 Al.upf
Ta 180.95 Ta.upf
ATOMIC_POSITIONS crystal
Co 0.356 0.856 0.000
Co 0.856 0.644 0.000
Co 0.644 0.144 0.000
Co 0.144 0.356 0.000
Al 0.151 0.651 0.500
Al 0.651 0.849 0.500
Al 0.849 0.349 0.500
Al 0.349 0.151 0.500
Ta 0.000 0.000 0.000
Ta 0.500 0.500 0.000
CELL_PARAMETERS angstrom
-1.419 -6.591 1.685
6.327 -0.646 2.800
-1.001 0.843 2.457
```

Distance to the lowest polymorph of the same formula in meV per atom: 0
Space-group type: No. 127
E_tot in eV/atom: -7.02

***

no.,DFT formation energy (eV per atom)
1,-1.4945
2,-0.0149
3,-0.2062
4,-0.3082